# 1
# Te6Ir2Pd (PBE-GGA, optimized geometry)
data_Te6Ir2Pd
_chemical_formula_sum 'Te12 Ir4 Pd2'
_space_group_name_H-M_alt 'P 1'
_space_group_IT_number 1
_space_group_name_Hall 'P 1'
_cell_length_a 6.1703
_cell_length_b 6.1703
_cell_length_c 12.6556
_cell_angle_alpha 90.00
_cell_angle_beta 90.00
_cell_angle_gamma 90.00
loop_
_atom_site_label
_atom_site_fract_x
_atom_site_fract_y
_atom_site_fract_z
Te1 0.8062 0.1938 0.6698
Ir1 0.5000 0.5000 0.6645
Te2 0.1938 0.8062 0.3302
Te3 0.1921 0.8079 0.0000
Te4 0.8062 0.1938 0.3302
Te5 0.1938 0.8062 0.6698
Ir2 0.0000 0.0000 0.8355
Te6 0.6921 0.6921 0.5000
Te7 0.6938 0.6938 0.1698
Te8 0.8079 0.1921 0.0000
Te9 0.3062 0.3062 0.8302
Ir3 0.5000 0.5000 0.3355
Te10 0.6938 0.6938 0.8302
Pd1 0.0000 0.0000 0.5000
Ir4 0.0000 0.0000 0.1645
Pd2 0.5000 0.5000 0.0000
Te11 0.3079 0.3079 0.5000
Te12 0.3062 0.3062 0.1698
# - distance to the lowest polymorph of the same formula (meV per atom) = 230
# - total DFT energy (no corrections) (eV/atom) = -4.67
# - space-group type = No. 136
# - total moment (μB per cell) = 0.0

=====

# 2
# LaMn4Sb12 (PBE-GGA, optimized geometry)
data_LaMn4Sb12
_chemical_formula_sum 'La1 Mn4 Sb12'
_space_group_name_H-M_alt 'P 1'
_space_group_IT_number 1
_space_group_name_Hall 'P 1'
_cell_length_a 8.0728
_cell_length_b 8.0728
_cell_length_c 8.0728
_cell_angle_alpha 109.47
_cell_angle_beta 109.47
_cell_angle_gamma 109.47
loop_
_atom_site_label
_atom_site_fract_x
_atom_site_fract_y
_atom_site_fract_z
Mn1 0.0000 0.0000 0.5000
Sb1 0.8260 0.1607 0.6653
Mn2 0.0000 0.5000 0.0000
Sb2 0.6653 0.8260 0.1607
Sb3 0.1607 0.6653 0.8260
Sb4 0.1607 0.3347 0.4954
Sb5 0.5046 0.8393 0.6653
Sb6 0.3347 0.1740 0.8393
Sb7 0.1740 0.8393 0.3347
La1 0.0000 0.0000 0.0000
Sb8 0.8393 0.3347 0.1740
Sb9 0.8393 0.6653 0.5046
Sb10 0.6653 0.5046 0.8393
Sb11 0.4954 0.1607 0.3347
Mn3 0.5000 0.5000 0.5000
Mn4 0.5000 0.0000 0.0000
Sb12 0.3347 0.4954 0.1607
# - total DFT energy (no corrections) (eV/atom) = -5.51
# - space-group type = No. 204
# - total moment (μB per cell) = 5.0

=====

# 3
# Sc2CdP (PBE-GGA, optimized geometry)
data_Sc2CdP
_chemical_formula_sum 'Sc2 Cd1 P1'
_space_group_name_H-M_alt 'P 1'
_space_group_IT_number 1
_space_group_name_Hall 'P 1'
_cell_length_a 3.9377
_cell_length_b 3.9377
_cell_length_c 5.5846
_cell_angle_alpha 90.00
_cell_angle_beta 90.00
_cell_angle_gamma 90.00
loop_
_atom_site_label
_atom_site_fract_x
_atom_site_fract_y
_atom_site_fract_z
Sc1 0.5000 0.5000 0.3772
Sc2 0.0000 0.0000 0.8737
P1 0.5000 0.5000 0.8760
Cd1 0.0000 0.0000 0.3731
# - distance to the lowest polymorph of the same formula (meV per atom) = 328
# - total DFT energy (no corrections) (eV/atom) = -5.24
# - space-group type = No. 99
# - formation energy (eV per atom) = -0.50
# - total moment (μB per cell) = 0.0